Entry 1:
A plane-wave DFT calculation with PBE-GGA was carried out for a relaxed structure of Rb2CI6Cl.

Lattice parameters (Å, degrees): 8.934 8.934 9.934 90.00 90.00 90.00
Space group I4/mmm (No. 139)
One atom of each set of equivalent atoms:
Rb 0.000 0.500 0.250 x4
C 0.000 0.000 0.000 x2
I 0.000 0.000 0.227 x4
I 0.217 0.217 0.000 x8
Cl 0.000 0.000 0.500 x2

N(E_F) = 15.9 states/eV/f.u.
Energy relative to the elements, uncorrected = -44 meV/atom

=====

Entry 2:
A plane-wave DFT calculation with PBE-GGA was carried out for a relaxed structure of PrAl4Zn2.

Lattice parameters (Å, degrees): 4.248 14.674 4.226 90.00 90.00 90.00
Space group Cmmm (No. 65)
One atom of each set of equivalent atoms:
Pr 0.000 0.000 0.000 x2
Al 0.000 0.185 0.500 x4
Al 0.000 0.314 0.000 x4
Zn 0.000 0.416 0.500 x4

N(E_F) = 2.3 states/eV/f.u.
Formation enthalpy at 0 K = -0.250 eV per atom

=====

Entry 3:
A plane-wave DFT calculation with PBE-GGA was carried out for a relaxed structure of K2AlRh.

Lattice parameters (Å, degrees): 4.694 4.638 8.324 90.00 105.98 90.00
Space group P2/m (No. 10)
One atom of each set of equivalent atoms:
K 0.129 0.000 0.256 x2
Al 0.500 0.500 0.000 x1
Rh 0.000 0.500 0.000 x1

N(E_F) = 2.4 states/eV/f.u.
Formation enthalpy at 0 K = 0.273 eV per atom

=====

Entry 4:
A plane-wave DFT calculation with PBE-GGA was carried out for a relaxed structure of BaBr2Cl.

Lattice parameters (Å, degrees): 4.602 4.602 24.698 90.00 90.00 90.00
Space group I-42d (No. 122)
One atom of each set of equivalent atoms:
Ba 0.000 0.000 0.000 x4
Br 0.241 0.250 0.125 x8
Cl 0.000 0.000 0.500 x4

N(E_F) = 3.2 states/eV/f.u.
Energy relative to the elements, uncorrected = -1466 meV/atom
Excess energy over the best structure of this formula in the dataset = 143 meV per atom

=====

Entry 5:
A plane-wave DFT calculation with PBE-GGA was carried out for a relaxed structure of YTmIn3.

Lattice parameters (Å, degrees): 5.803 5.803 21.935 90.00 90.00 90.00
Space group I-4m2 (No. 119)
One atom of each set of equivalent atoms:
Y 0.000 0.000 0.000 x2
Y 0.000 0.500 0.250 x2
Tm 0.000 0.000 0.420 x4
In 0.000 0.248 0.127 x8
In 0.000 0.500 0.508 x4

N(E_F) = 4.0 states/eV/f.u.
Formation enthalpy at 0 K = 0.144 eV per atom
Excess energy over the best structure of this formula in the dataset = 481 meV per atom

=====

Entry 6:
A plane-wave DFT calculation with PBE-GGA was carried out for a relaxed structure of InCuHg2.

Lattice parameters (Å, degrees): 3.243 3.243 8.301 90.00 90.00 90.00
Space group P4/mmm (No. 123)
One atom of each set of equivalent atoms:
In 0.000 0.000 0.000 x1
Cu 0.000 0.000 0.500 x1
Hg 0.500 0.500 0.297 x2

N(E_F) = 1.1 states/eV/f.u.
Formation enthalpy at 0 K = 0.140 eV per atom

=====

Entry 7:
A plane-wave DFT calculation with PBE-GGA was carried out for a relaxed structure of BaSc2Al2.

Lattice parameters (Å, degrees): 4.728 4.728 12.798 90.00 90.00 90.00
Space group I4/mmm (No. 139)
One atom of each set of equivalent atoms:
Ba 0.000 0.000 0.000 x2
Sc 0.000 0.500 0.250 x4
Al 0.000 0.000 0.392 x4

N(E_F) = 6.5 states/eV/f.u.
Formation enthalpy at 0 K = -0.078 eV per atom
Excess energy over the best structure of this formula in the dataset = 99 meV per atom

=====

Entry 8:
A plane-wave DFT calculation with PBE-GGA was carried out for a relaxed structure of LaPr2Th3P6.

Lattice parameters (Å, degrees): 7.251 12.542 7.244 90.00 109.48 90.00
Space group C2/m (No. 12)
One atom of each set of equivalent atoms:
La 0.000 0.000 0.000 x2
Pr 0.000 0.333 0.000 x4
Th 0.000 0.166 0.500 x4
Th 0.000 0.500 0.500 x2
P 0.247 0.333 0.742 x8
P 0.248 0.000 0.742 x4

N(E_F) = 5.2 states/eV/f.u.
Formation enthalpy at 0 K = -1.567 eV per atom

=====

Entry 9:
A plane-wave DFT calculation with PBE-GGA was carried out for a relaxed structure of UAlZn2Au4.

Lattice parameters (Å, degrees): 4.4647 4.4647 25.9287 90.00 90.00 120.00
Space group R-3m (No. 166, hexagonal axes)
One atom of each set of equivalent atoms:
U 0.0000 0.0000 0.0000 x3
Al 0.0000 0.0000 0.5000 x3
Zn 0.0000 0.0000 0.2468 x6
Au 0.0000 0.0000 0.1314 x6
Au 0.0000 0.0000 0.3935 x6

N(E_F) = 7.0 states/eV/f.u.
Formation enthalpy at 0 K = -0.222 eV per atom

=====

Entry 10:
A plane-wave DFT calculation with PBE-GGA was carried out for a relaxed structure of LiGe2WC.

Lattice parameters (Å, degrees): 4.844 4.844 5.360 90.00 90.00 90.00
Space group P4/mmm (No. 123)
One atom of each set of equivalent atoms:
Li 0.000 0.000 0.000 x1
Ge 0.000 0.500 0.500 x2
W 0.000 0.000 0.500 x1
C 0.500 0.500 0.000 x1

N(E_F) = 4.6 states/eV/f.u.
Formation enthalpy at 0 K = 2.012 eV per atom

=====

Entry 11:
A plane-wave DFT calculation with PBE-GGA was carried out for a relaxed structure of La2Cu2I.

Lattice parameters (Å, degrees): 4.2962 4.2962 17.4268 90.00 90.00 120.00
Space group P6_3/mmc (No. 194)
One atom of each set of equivalent atoms:
La 0.0000 0.0000 0.1044 x4
Cu 0.3333 0.6667 0.0005 x4
I 0.3333 0.6667 0.7500 x2

N(E_F) = 4.3 states/eV/f.u.
Energy relative to the elements, uncorrected = -600 meV/atom
Excess energy over the best structure of this formula in the dataset = 1 meV per atom

=====

Entry 12:
A plane-wave DFT calculation with PBE-GGA was carried out for a relaxed structure of CsSb3O.

Lattice parameters (Å, degrees): 5.105 5.105 5.105 90.00 90.00 90.00
Space group Pm-3m (No. 221)
One atom of each set of equivalent atoms:
Cs 0.000 0.000 0.000 x1
Sb 0.000 0.500 0.500 x3
O 0.500 0.500 0.500 x1

N(E_F) = 4.8 states/eV/f.u.
Energy relative to the elements, uncorrected = 41 meV/atom
Excess energy over the best structure of this formula in the dataset = 0 meV per atom